# 1
Computed, not measured: a relaxed structure of ScZn2W at the PBE-GGA level of DFT.

Values from the calculation:
N(E_F) (states/eV/cell): 3.38
E above lowest polymorph (meV per atom): 66
Energy of formation (meV per atom): 115.3

Lattice parameters (Å, degrees): 3.389 3.389 5.725 90.00 90.00 90.00
Atoms (fractional coordinates):
1 Sc 0.000 0.000 0.000
2 Zn 0.500 0.500 0.272
3 Zn 0.500 0.500 0.728
4 W 0.000 0.000 0.500

***

# 2
Computed, not measured: a relaxed structure of Sc2Zn2W at the PBE-GGA level of DFT.

Values from the calculation:
N(E_F) (states/eV/cell): 10.55
Energy of formation (meV per atom): 94.3

Lattice parameters (Å, degrees): 7.490 7.490 3.163 90.00 90.00 90.00
Atoms (fractional coordinates):
1 Sc 0.183 0.317 0.000
2 Sc 0.317 0.817 0.000
3 Sc 0.683 0.183 0.000
4 Sc 0.817 0.683 0.000
5 Zn 0.118 0.618 0.500
6 Zn 0.382 0.118 0.500
7 Zn 0.618 0.882 0.500
8 Zn 0.882 0.382 0.500
9 W 0.000 0.000 0.500
10 W 0.500 0.500 0.500

***

# 3
Computed, not measured: a relaxed structure of Sc2ZnW at the PBE-GGA level of DFT.

Values from the calculation:
N(E_F) (states/eV/cell): 8.43
Energy of formation (meV per atom): 656.6

Lattice parameters (Å, degrees): 10.150 10.150 10.150 157.46 157.46 32.09
Atoms (fractional coordinates):
1 Sc 0.120 0.625 0.995
2 Sc 0.375 0.370 0.495
3 Sc 0.630 0.125 0.005
4 Sc 0.875 0.880 0.505
5 Zn 0.250 0.750 0.500
6 Zn 0.500 0.500 0.000
7 W 0.000 0.000 0.000
8 W 0.750 0.250 0.500

***

# 4
Computed, not measured: a relaxed structure of Sc4ZnW at the PBE-GGA level of DFT.

Values from the calculation:
N(E_F) (states/eV/cell): 4.31
Energy of formation (meV per atom): 601.5

Lattice parameters (Å, degrees): 5.552 5.552 5.552 60.00 60.00 60.00
Atoms (fractional coordinates):
1 Sc 0.124 0.124 0.124
2 Sc 0.124 0.124 0.629
3 Sc 0.124 0.629 0.124
4 Sc 0.629 0.124 0.124
5 Zn 0.500 0.500 0.500
6 W 0.750 0.750 0.750

***

# 5
Computed, not measured: a relaxed structure of ScZnW2 at the PBE-GGA level of DFT.

Values from the calculation:
N(E_F) (states/eV/cell): 2.85
Energy of formation (meV per atom): 173.5

Lattice parameters (Å, degrees): 2.791 4.329 5.762 90.00 101.01 90.00
Atoms (fractional coordinates):
1 Sc 0.000 0.000 0.000
2 Zn 0.420 0.500 0.741
3 W 0.500 0.500 0.266
4 W 0.859 0.000 0.484

***

# 6
Computed, not measured: a relaxed structure of ScZnW2 at the PBE-GGA level of DFT.

Values from the calculation:
N(E_F) (states/eV/cell): 2.47
Energy of formation (meV per atom): 248.6

Lattice parameters (Å, degrees): 5.208 5.208 4.662 104.30 104.30 33.70
Atoms (fractional coordinates):
1 Sc 0.000 0.000 0.000
2 Zn 0.500 0.500 0.500
3 W 0.241 0.241 0.742
4 W 0.759 0.759 0.258

***

# 7
Computed, not measured: a relaxed structure of ScZnW at the PBE-GGA level of DFT.

Values from the calculation:
N(E_F) (states/eV/cell): 3.14
E above lowest polymorph (meV per atom): 619
Energy of formation (meV per atom): 719.1

Lattice parameters (Å, degrees): 4.336 4.336 4.336 60.00 60.00 60.00
Atoms (fractional coordinates):
1 Sc 0.000 0.000 0.000
2 Zn 0.250 0.250 0.250
3 W 0.500 0.500 0.500

***

# 8
Computed, not measured: a relaxed structure of Sc2ZnW at the PBE-GGA level of DFT.

Values from the calculation:
N(E_F) (states/eV/cell): 4.14
Energy of formation (meV per atom): 139.0

Lattice parameters (Å, degrees): 2.890 2.890 8.974 90.00 90.00 91.27
Atoms (fractional coordinates):
1 Sc 0.000 0.000 0.000
2 Sc 0.500 0.500 0.310
3 Zn 0.500 0.500 0.772
4 W 0.000 0.000 0.557

***

- The lowest energy of formation belongs to which entry?
  Sc2Zn2W

***

- Number 6 is which compound?
  ScZnW2

***

What did the first record say?
Computed, not measured: a relaxed structure of ScZn2W at the PBE-GGA level of DFT.

Values from the calculation:
N(E_F) (states/eV/cell): 3.38
E above lowest polymorph (meV per atom): 66
Energy of formation (meV per atom): 115.3

Lattice parameters (Å, degrees): 3.389 3.389 5.725 90.00 90.00 90.00
Atoms (fractional coordinates):
1 Sc 0.000 0.000 0.000
2 Zn 0.500 0.500 0.272
3 Zn 0.500 0.500 0.728
4 W 0.000 0.000 0.500

***

- The highest energy of formation belongs to which entry?
  ScZnW